#one
Below is crystalline Rb3BiBr6 at its relaxed geometry, with properties calculated at the GGA-PBEsol level.

POSCAR file:
```
Rb3BiBr6
1.0
8.470 0.000 0.000
4.235 7.335 0.000
4.235 2.445 6.916
Br Rb Bi
6 3 1
Direct
0.764 0.236 0.764 Br
0.764 0.764 0.236 Br
0.764 0.236 0.236 Br
0.236 0.764 0.764 Br
0.236 0.764 0.236 Br
0.236 0.236 0.764 Br
0.500 0.500 0.500 Rb
0.250 0.250 0.250 Rb
0.750 0.750 0.750 Rb
0.000 0.000 0.000 Bi
```

Summary:
Space group = No. 225

=====

#two
Below is crystalline Rb3BiBr6 at its relaxed geometry, with properties calculated at the GGA-PBEsol level.

POSCAR file:
```
Rb3BiBr6
1.0
-2.034 8.103 -1.229
-9.690 -3.659 -8.091
-16.890 -1.096 20.723
Rb Bi Br
24 8 48
Direct
0.420 0.681 0.043 Rb
0.076 0.488 0.158 Rb
0.924 0.512 0.842 Rb
0.576 0.012 0.842 Rb
0.072 0.159 0.840 Rb
0.920 0.819 0.957 Rb
0.424 0.988 0.158 Rb
0.424 0.988 0.342 Rb
0.428 0.659 0.840 Rb
0.576 0.012 0.658 Rb
0.076 0.488 0.342 Rb
0.072 0.159 0.660 Rb
0.420 0.681 0.457 Rb
0.080 0.181 0.457 Rb
0.920 0.819 0.543 Rb
0.580 0.319 0.957 Rb
0.428 0.659 0.660 Rb
0.928 0.841 0.160 Rb
0.924 0.512 0.658 Rb
0.572 0.341 0.160 Rb
0.080 0.181 0.043 Rb
0.580 0.319 0.543 Rb
0.928 0.841 0.340 Rb
0.572 0.341 0.340 Rb
0.000 0.500 0.000 Bi
0.500 0.000 0.000 Bi
0.000 0.500 0.500 Bi
0.003 0.835 0.750 Bi
0.997 0.165 0.250 Bi
0.503 0.665 0.250 Bi
0.500 0.000 0.500 Bi
0.497 0.335 0.750 Bi
0.213 0.930 0.047 Br
0.287 0.430 0.047 Br
0.211 0.223 0.171 Br
0.326 0.122 0.932 Br
0.141 0.967 0.250 Br
0.287 0.430 0.453 Br
0.995 0.330 0.564 Br
0.711 0.277 0.829 Br
0.213 0.930 0.453 Br
0.211 0.223 0.329 Br
0.674 0.878 0.432 Br
0.505 0.830 0.936 Br
0.174 0.622 0.568 Br
0.212 0.893 0.828 Br
0.995 0.330 0.936 Br
0.826 0.378 0.068 Br
0.787 0.070 0.953 Br
0.789 0.777 0.671 Br
0.361 0.135 0.750 Br
0.787 0.070 0.547 Br
0.495 0.170 0.436 Br
0.788 0.107 0.172 Br
0.289 0.723 0.171 Br
0.861 0.365 0.250 Br
0.288 0.393 0.672 Br
0.289 0.723 0.329 Br
0.674 0.878 0.068 Br
0.789 0.777 0.829 Br
0.139 0.635 0.750 Br
0.505 0.830 0.564 Br
0.326 0.122 0.568 Br
0.495 0.170 0.064 Br
0.639 0.865 0.250 Br
0.641 0.533 0.750 Br
0.826 0.378 0.432 Br
0.713 0.570 0.547 Br
0.712 0.607 0.328 Br
0.359 0.467 0.250 Br
0.288 0.393 0.828 Br
0.712 0.607 0.172 Br
0.711 0.277 0.671 Br
0.005 0.670 0.064 Br
0.212 0.893 0.672 Br
0.713 0.570 0.953 Br
0.174 0.622 0.932 Br
0.788 0.107 0.328 Br
0.859 0.033 0.750 Br
0.005 0.670 0.436 Br
```

Summary:
Space group = No. 62

=====

If you had to name the least stable structure above, which would it be? It would be #one.